# GGA-PBE KTlPbBr4, optimized geometry
data_KTlPbBr4
_chemical_formula_sum 'K2 Tl2 Pb2 Br8'
_cell_length_a 5.936
_cell_length_b 5.936
_cell_length_c 16.768
_cell_angle_alpha 90.00
_cell_angle_beta 90.00
_cell_angle_gamma 90.00
_symmetry_space_group_name_H-M 'I 4 m m'
_symmetry_Int_Tables_number 107
_symmetry_space_group_name_Hall 'I 4 -2'
loop_
_atom_site_label
_atom_site_fract_x
_atom_site_fract_y
_atom_site_fract_z
K1 0.000 0.000 0.000
Tl1 0.000 0.000 0.726
Pb1 0.000 0.000 0.366
Br1 0.000 0.000 0.192
Br2 0.000 0.000 0.550
Br3 0.000 0.500 0.377
# - Energy relative to the elements, uncorrected: -1.081 eV per atom
# - DOS(E_F): 0.000 states/eV/atom

***

# GGA-PBE RbSr2Pm, optimized geometry
data_RbSr2Pm
_chemical_formula_sum 'Rb1 Sr2 Pm1'
_cell_length_a 4.134
_cell_length_b 4.134
_cell_length_c 12.559
_cell_angle_alpha 90.00
_cell_angle_beta 90.00
_cell_angle_gamma 90.00
_symmetry_space_group_name_H-M 'P 4/m m m'
_symmetry_Int_Tables_number 123
_symmetry_space_group_name_Hall '-P 4 2'
loop_
_atom_site_label
_atom_site_fract_x
_atom_site_fract_y
_atom_site_fract_z
Rb1 0.000 0.000 0.000
Sr1 0.500 0.500 0.296
Pm1 0.000 0.000 0.500
# - DOS(E_F): 1.771 states/eV/atom

***

# GGA-PBE PrSb3S6, optimized geometry
data_PrSb3S6
_chemical_formula_sum 'Pr2 Sb6 S12'
_cell_length_a 11.681
_cell_length_b 3.921
_cell_length_c 11.924
_cell_angle_alpha 90.00
_cell_angle_beta 103.54
_cell_angle_gamma 90.00
_symmetry_space_group_name_H-M 'P 1 21/m 1'
_symmetry_Int_Tables_number 11
loop_
_symmetry_equiv_pos_as_xyz
'x,y,z'
'-x,-y,-z'
'-x,y+1/2,-z'
'x,-y+1/2,z'
loop_
_atom_site_label
_atom_site_fract_x
_atom_site_fract_y
_atom_site_fract_z
Pr1 0.188 0.250 0.031
Sb1 0.033 0.750 0.292
Sb2 0.336 0.250 0.425
Sb3 0.404 0.750 0.846
S1 0.035 0.750 0.888
S2 0.122 0.250 0.443
S3 0.219 0.750 0.223
S4 0.258 0.250 0.800
S5 0.383 0.750 0.049
S6 0.388 0.750 0.567
# - Energy relative to the elements, uncorrected: -0.713 eV per atom

***

# GGA-PBE Ba2ZnGa2, optimized geometry
data_Ba2ZnGa2
_chemical_formula_sum 'Ba4 Zn2 Ga4'
_cell_length_a 4.345
_cell_length_b 6.976
_cell_length_c 10.296
_cell_angle_alpha 90.00
_cell_angle_beta 90.00
_cell_angle_gamma 90.00
_symmetry_space_group_name_H-M 'I m m m'
_symmetry_Int_Tables_number 71
_symmetry_space_group_name_Hall '-I 2 2'
loop_
_atom_site_label
_atom_site_fract_x
_atom_site_fract_y
_atom_site_fract_z
Ba1 0.000 0.000 0.178
Zn1 0.000 0.500 0.000
Ga1 0.000 0.197 0.500
# - Offset from the most stable computed form: 0.0001 eV/atom
# - DOS(E_F): 0.835 states/eV/atom

***

Summary of DFT total energy in eV for the cell shown
-42.9; -8.3; -98.1; -25.6
(order as listed above)